{
  "formula": "HoLuBeNi",
  "functional": "GGA-PBE",
  "state": "optimized geometry",
  "lattice_angstrom": [[4.731, 0.000, 0.000], [2.365, 4.097, 0.000], [2.365, 1.366, 3.863]],
  "species": ["Ni", "Lu", "Ho", "Be"],
  "frac_coords": [[0.250, 0.250, 0.250], [0.500, 0.500, 0.500], [0.000, 0.000, 0.000], [0.750, 0.750, 0.750]],
  "spacegroup": "No. 216",
  "m_tot_mub_per_fu": 0.00,
  "ef_ev_per_atom": -0.180
}